1:
ThSi2Ir4 | PBE | relaxed

- D(E_F) (states/eV/cell) = 13.5
- total magnetic moment (μB/atom) = 0.000

Cell and atoms, written as POSCAR:
```
ThSi2Ir4
1.0
17.442 0.000 0.000
0.000 4.092 0.000
0.000 0.000 6.531
Th Si Ir
4 8 16
Cartesian
2.444 1.023 0.106
6.277 3.069 3.372
11.165 1.023 3.159
14.998 3.069 6.425
0.673 3.069 1.696
3.551 1.023 3.708
5.170 3.069 0.443
8.048 1.023 4.962
9.393 3.069 1.569
12.271 1.023 6.089
13.891 3.069 2.823
16.769 1.023 4.835
0.470 3.069 5.603
1.140 1.023 3.288
2.994 3.069 2.342
3.806 3.069 4.993
4.915 1.023 1.727
5.726 1.023 5.608
7.581 3.069 0.022
8.251 1.023 2.338
9.191 3.069 4.194
9.860 1.023 6.509
11.715 3.069 0.923
12.527 3.069 4.804
13.636 1.023 1.538
14.447 1.023 4.189
16.302 3.069 3.243
16.972 1.023 0.928
```

---

2:
ThSi2Ir4 | PBE | relaxed

- D(E_F) (states/eV/cell) = 2.4
- total magnetic moment (μB/atom) = 0.000

Cell and atoms, written as POSCAR:
```
ThSi2Ir4
1.0
2.051 -6.890 0.000
2.051 6.890 0.000
0.000 0.000 4.113
Th Si Ir
1 2 4
Cartesian
0.000 0.000 0.000
2.051 1.240 2.056
2.051 -1.240 2.056
2.051 4.431 2.056
2.051 2.418 0.000
2.051 -2.418 0.000
2.051 -4.431 2.056
```

---

What should be chosen as the least stable of them? Choose 1.

---

1:
TiSi3Ir | PBE | relaxed

- D(E_F) (states/eV/cell) = 5.8
- total magnetic moment (μB/atom) = 0.372

Cell and atoms, written as POSCAR:
```
TiSi3Ir
1.0
4.637 0.000 0.000
0.000 4.637 0.000
0.000 0.000 4.637
Ti Si Ir
1 3 1
Cartesian
0.000 0.000 0.000
0.000 2.319 2.319
2.319 0.000 2.319
2.319 2.319 0.000
2.319 2.319 2.319
```

---

2:
TiSi3Ir | PBE | relaxed

- D(E_F) (states/eV/cell) = 5.8
- total magnetic moment (μB/atom) = 0.000

Cell and atoms, written as POSCAR:
```
TiSi3Ir
1.0
4.607 0.000 0.000
0.000 4.607 0.000
0.000 0.000 4.607
Ti Si Ir
1 3 1
Cartesian
0.000 0.000 0.000
0.000 0.000 2.304
0.000 2.304 0.000
2.304 0.000 0.000
2.304 2.304 2.304
```

---

What should be chosen as the least stable of them? Choose 2.

---

1:
TlSi2Ir2 | PBE | relaxed

- D(E_F) (states/eV/cell) = 6.4
- total magnetic moment (μB/atom) = 0.000

Cell and atoms, written as POSCAR:
```
TlSi2Ir2
1.0
7.547 0.000 0.000
0.000 7.547 0.000
0.000 0.000 2.823
Tl Si Ir
2 4 4
Cartesian
0.000 0.000 0.000
3.774 3.774 0.000
1.067 2.706 1.411
2.706 6.480 1.411
4.841 1.067 1.411
6.480 4.841 1.411
1.063 4.836 0.000
2.711 1.063 0.000
4.836 6.484 0.000
6.484 2.711 0.000
```

---

2:
TlSi2Ir2 | PBE | relaxed

- D(E_F) (states/eV/cell) = 2.0
- total magnetic moment (μB/atom) = 0.000

Cell and atoms, written as POSCAR:
```
TlSi2Ir2
1.0
-1.881 1.881 5.983
1.881 -1.881 5.983
1.881 1.881 -5.983
Tl Si Ir
1 2 2
Cartesian
0.000 0.000 0.000
1.881 0.000 2.991
0.000 1.881 2.991
0.000 0.000 4.467
0.000 0.000 7.499
```

---

What should be chosen as the least stable of them? Choose 1.

---

1:
Tl3SiIr | PBE | relaxed

- D(E_F) (states/eV/cell) = 3.3
- total magnetic moment (μB/atom) = 0.332

Cell and atoms, written as POSCAR:
```
Tl3SiIr
1.0
5.287 0.000 0.000
0.000 5.287 0.000
0.000 0.000 5.287
Tl Si Ir
3 1 1
Cartesian
0.000 0.000 2.644
0.000 2.644 0.000
2.644 0.000 0.000
2.644 2.644 2.644
0.000 0.000 0.000
```

---

2:
Tl3SiIr | PBE | relaxed

- D(E_F) (states/eV/cell) = 7.0
- total magnetic moment (μB/atom) = 0.104

Cell and atoms, written as POSCAR:
```
Tl3SiIr
1.0
5.168 0.000 0.000
0.000 5.168 0.000
0.000 0.000 5.168
Tl Si Ir
3 1 1
Cartesian
0.000 0.000 2.584
0.000 2.584 0.000
2.584 0.000 0.000
0.000 0.000 0.000
2.584 2.584 2.584
```

---

What should be chosen as the least stable of them? Choose 2.

---

1:
Tm2Si3Ir2 | PBE | relaxed

- D(E_F) (states/eV/cell) = 3.2
- total magnetic moment (μB/atom) = 0.000

Cell and atoms, written as POSCAR:
```
Tm2Si3Ir2
1.0
4.977 -2.058 0.000
4.977 2.058 0.000
-2.762 0.000 5.889
Tm Si Ir
2 3 2
Cartesian
0.757 0.000 1.617
6.434 0.000 4.272
3.647 0.000 0.351
3.596 0.000 2.945
3.544 0.000 5.538
-0.647 0.000 4.273
7.838 0.000 1.616
```

---

2:
Tm2Si3Ir2 | PBE | relaxed

- D(E_F) (states/eV/cell) = 5.9
- total magnetic moment (μB/atom) = 0.000

Cell and atoms, written as POSCAR:
```
Tm2Si3Ir2
1.0
2.018 -8.642 0.000
2.018 8.642 0.000
0.000 0.000 6.955
Tm Si Ir
4 6 4
Cartesian
2.018 7.635 5.216
2.018 5.967 1.739
2.018 -5.967 5.216
2.018 -7.635 1.739
2.018 4.725 5.216
2.018 1.055 3.979
2.018 1.055 6.453
2.018 -1.055 0.502
2.018 -1.055 2.976
2.018 -4.725 1.739
2.018 3.289 0.339
2.018 3.289 3.138
2.018 -3.289 3.817
2.018 -3.289 6.616
```

---

What should be chosen as the least stable of them? Choose 1.

---

1:
Tm3Si3Ir2 | PBE | relaxed

- D(E_F) (states/eV/cell) = 14.3
- total magnetic moment (μB/atom) = 0.000

Cell and atoms, written as POSCAR:
```
Tm3Si3Ir2
1.0
7.950 0.000 0.000
0.000 13.794 0.000
0.000 0.000 5.570
Tm Si Ir
12 12 8
Cartesian
0.369 1.582 0.657
0.369 5.315 0.657
1.559 3.448 3.487
2.416 10.345 0.702
3.605 8.479 3.442
3.605 12.212 3.442
4.344 1.582 2.128
4.344 5.315 2.128
5.534 3.448 4.868
6.390 10.345 2.083
7.580 8.479 4.912
7.580 12.212 4.912
1.250 10.345 3.348
1.589 0.551 3.499
1.589 6.346 3.499
2.385 7.448 0.714
2.385 13.243 0.714
2.725 3.448 0.563
5.225 10.345 5.007
5.564 0.551 4.856
5.564 6.346 4.856
6.360 7.448 2.071
6.360 13.243 2.071
6.700 3.448 2.222
0.655 8.179 2.166
0.655 12.512 2.166
3.320 1.282 4.951
3.320 5.615 4.951
4.630 8.179 0.618
4.630 12.512 0.618
7.294 1.282 3.403
7.294 5.615 3.403
```

---

2:
Tm3Si3Ir2 | PBE | relaxed

- D(E_F) (states/eV/cell) = 6.0
- total magnetic moment (μB/atom) = 0.000

Cell and atoms, written as POSCAR:
```
Tm3Si3Ir2
1.0
2.107 -5.137 0.000
2.107 5.137 0.000
0.000 0.000 13.843
Tm Si Ir
6 6 4
Cartesian
2.107 4.282 8.476
2.107 4.282 12.289
2.107 1.421 10.382
2.107 -1.421 3.461
2.107 -4.282 1.555
2.107 -4.282 5.367
2.107 1.686 3.461
2.107 1.214 7.414
2.107 1.214 13.351
2.107 -1.214 0.493
2.107 -1.214 6.429
2.107 -1.686 10.382
2.107 3.065 1.346
2.107 3.065 5.576
2.107 -3.065 8.268
2.107 -3.065 12.497
```

---

What should be chosen as the least stable of them? Choose 1.